No. 1
First-principles (PBE-GGA) data for NaPuAsAu after structural relaxation, as listed in Alexandria via LeMat-Bulk.

Structure (CIF):
```
data_NaPuAsAu
_chemical_formula_sum 'Na1 Pu1 As1 Au1'
_symmetry_space_group_name_H-M 'P 1'
_symmetry_Int_Tables_number 1
_symmetry_space_group_name_Hall 'P 1'
_cell_length_a 5.015
_cell_length_b 5.015
_cell_length_c 5.015
_cell_angle_alpha 60.00
_cell_angle_beta 60.00
_cell_angle_gamma 60.00
loop_
_atom_site_label
_atom_site_type_symbol
_atom_site_fract_x
_atom_site_fract_y
_atom_site_fract_z
Na1 Na 0.000 0.000 0.000
As1 As 0.250 0.250 0.250
Au1 Au 0.750 0.750 0.750
Pu1 Pu 0.500 0.500 0.500
```

spin magnetization = 5.0 μB per cell
formation energy from the elements = -11.860 kcal/mol of atoms



No. 2
First-principles (PBE-GGA) data for RbNaAs2Au after structural relaxation, as listed in Alexandria via LeMat-Bulk.

Structure (CIF):
```
data_RbNaAs2Au
_chemical_formula_sum 'Rb1 Na1 As2 Au1'
_symmetry_space_group_name_H-M 'P 1'
_symmetry_Int_Tables_number 1
_symmetry_space_group_name_Hall 'P 1'
_cell_length_a 5.700
_cell_length_b 5.700
_cell_length_c 5.403
_cell_angle_alpha 90.00
_cell_angle_beta 90.00
_cell_angle_gamma 90.00
loop_
_atom_site_label
_atom_site_type_symbol
_atom_site_fract_x
_atom_site_fract_y
_atom_site_fract_z
Na1 Na 0.000 0.000 0.500
As1 As 0.000 0.500 0.000
As2 As 0.500 0.000 0.000
Au1 Au 0.500 0.500 0.500
Rb1 Rb 0.000 0.000 0.000
```

spin magnetization = 0.0 μB per cell
formation energy from the elements = 29.009 kcal/mol of atoms



No. 3
First-principles (PBE-GGA) data for RbNaAsAu after structural relaxation, as listed in Alexandria via LeMat-Bulk.

Structure (CIF):
```
data_RbNaAsAu
_chemical_formula_sum 'Rb1 Na1 As1 Au1'
_symmetry_space_group_name_H-M 'P 1'
_symmetry_Int_Tables_number 1
_symmetry_space_group_name_Hall 'P 1'
_cell_length_a 4.699
_cell_length_b 5.103
_cell_length_c 6.247
_cell_angle_alpha 114.11
_cell_angle_beta 90.00
_cell_angle_gamma 90.00
loop_
_atom_site_label
_atom_site_type_symbol
_atom_site_fract_x
_atom_site_fract_y
_atom_site_fract_z
Rb1 Rb 0.500 0.208 0.417
Na1 Na 0.000 0.943 0.886
As1 As 0.000 0.574 0.148
Au1 Au 0.500 0.502 0.004
```

spin magnetization = 0.0 μB per cell
formation energy from the elements = -9.161 kcal/mol of atoms



No. 4
First-principles (PBE-GGA) data for NaRe2AsAu after structural relaxation, as listed in Alexandria via LeMat-Bulk.

Structure (CIF):
```
data_NaRe2AsAu
_chemical_formula_sum 'Na1 Re2 As1 Au1'
_symmetry_space_group_name_H-M 'P 1'
_symmetry_Int_Tables_number 1
_symmetry_space_group_name_Hall 'P 1'
_cell_length_a 4.571
_cell_length_b 4.571
_cell_length_c 4.885
_cell_angle_alpha 90.00
_cell_angle_beta 90.00
_cell_angle_gamma 90.00
loop_
_atom_site_label
_atom_site_type_symbol
_atom_site_fract_x
_atom_site_fract_y
_atom_site_fract_z
Re1 Re 0.000 0.500 0.000
Re2 Re 0.500 0.000 0.000
As1 As 0.000 0.000 0.000
Au1 Au 0.500 0.500 0.500
Na1 Na 0.000 0.000 0.500
```

spin magnetization = 0.0 μB per cell
formation energy from the elements = 29.966 kcal/mol of atoms



No. 5
First-principles (PBE-GGA) data for Na2AsRuAu after structural relaxation, as listed in Alexandria via LeMat-Bulk.

Structure (CIF):
```
data_Na2AsRuAu
_chemical_formula_sum 'Na2 As1 Ru1 Au1'
_symmetry_space_group_name_H-M 'P 1'
_symmetry_Int_Tables_number 1
_symmetry_space_group_name_Hall 'P 1'
_cell_length_a 5.088
_cell_length_b 5.121
_cell_length_c 5.088
_cell_angle_alpha 90.00
_cell_angle_beta 90.00
_cell_angle_gamma 90.00
loop_
_atom_site_label
_atom_site_type_symbol
_atom_site_fract_x
_atom_site_fract_y
_atom_site_fract_z
Ru1 Ru 0.000 0.500 0.000
As1 As 0.500 0.500 0.500
Au1 Au 0.000 0.000 0.000
Na1 Na 0.000 0.000 0.500
Na2 Na 0.500 0.000 0.000
```

spin magnetization = 2.6 μB per cell
formation energy from the elements = 19.179 kcal/mol of atoms



No. 6
First-principles (PBE-GGA) data for Na2AsAuS4 after structural relaxation, as listed in Alexandria via LeMat-Bulk.

Structure (CIF):
```
data_Na2AsAuS4
_chemical_formula_sum 'Na2 As1 Au1 S4'
_symmetry_space_group_name_H-M 'P 1'
_symmetry_Int_Tables_number 1
_symmetry_space_group_name_Hall 'P 1'
_cell_length_a 6.249
_cell_length_b 6.252
_cell_length_c 6.846
_cell_angle_alpha 117.18
_cell_angle_beta 117.15
_cell_angle_gamma 89.98
loop_
_atom_site_label
_atom_site_type_symbol
_atom_site_fract_x
_atom_site_fract_y
_atom_site_fract_z
Na1 Na 0.486 0.986 0.972
Na2 Na 0.235 0.236 0.472
As1 As 0.736 0.736 0.472
Au1 Au 0.987 0.486 0.971
S1 S 0.663 0.631 0.709
S2 S 0.841 0.426 0.234
S3 S 0.394 0.809 0.235
S4 S 0.046 0.078 0.709
```

energy relative to the elements, uncorrected = -0.456 eV/atom
spin magnetization = 0.0 μB per cell



No. 7
First-principles (PBE-GGA) data for NaAsAu2S after structural relaxation, as listed in Alexandria via LeMat-Bulk.

Structure (CIF):
```
data_NaAsAu2S
_chemical_formula_sum 'Na1 As1 Au2 S1'
_symmetry_space_group_name_H-M 'P 1'
_symmetry_Int_Tables_number 1
_symmetry_space_group_name_Hall 'P 1'
_cell_length_a 4.912
_cell_length_b 5.170
_cell_length_c 4.912
_cell_angle_alpha 90.00
_cell_angle_beta 90.00
_cell_angle_gamma 90.00
loop_
_atom_site_label
_atom_site_type_symbol
_atom_site_fract_x
_atom_site_fract_y
_atom_site_fract_z
Na1 Na 0.500 0.500 0.500
As1 As 0.000 0.000 0.000
Au1 Au 0.000 0.000 0.500
Au2 Au 0.500 0.000 0.000
S1 S 0.000 0.500 0.000
```

energy relative to the elements, uncorrected = 0.013 eV/atom
spin magnetization = 0.0 μB per cell



No. 8
First-principles (PBE-GGA) data for Na4Sb2As2Au after structural relaxation, as listed in Alexandria via LeMat-Bulk.

Structure (CIF):
```
data_Na4Sb2As2Au
_chemical_formula_sum 'Na4 Sb2 As2 Au1'
_symmetry_space_group_name_H-M 'P 1'
_symmetry_Int_Tables_number 1
_symmetry_space_group_name_Hall 'P 1'
_cell_length_a 5.683
_cell_length_b 7.421
_cell_length_c 7.421
_cell_angle_alpha 48.87
_cell_angle_beta 79.31
_cell_angle_gamma 79.31
loop_
_atom_site_label
_atom_site_type_symbol
_atom_site_fract_x
_atom_site_fract_y
_atom_site_fract_z
Na1 Na 0.231 0.608 0.102
Na2 Na 0.769 0.898 0.392
Na3 Na 0.769 0.392 0.898
Na4 Na 0.231 0.102 0.608
Sb1 Sb 0.306 0.597 0.597
Sb2 Sb 0.694 0.403 0.403
As1 As 0.222 0.163 0.163
As2 As 0.778 0.837 0.837
Au1 Au 0.500 0.000 0.000
```

energy relative to the elements, uncorrected = -0.241 eV/atom
spin magnetization = 0.0 μB per cell



No. 9
First-principles (PBE-GGA) data for NaScAsAu2 after structural relaxation, as listed in Alexandria via LeMat-Bulk.

Structure (CIF):
```
data_NaScAsAu2
_chemical_formula_sum 'Na1 Sc1 As1 Au2'
_symmetry_space_group_name_H-M 'P 1'
_symmetry_Int_Tables_number 1
_symmetry_space_group_name_Hall 'P 1'
_cell_length_a 4.801
_cell_length_b 5.031
_cell_length_c 4.801
_cell_angle_alpha 90.00
_cell_angle_beta 90.00
_cell_angle_gamma 90.00
loop_
_atom_site_label
_atom_site_type_symbol
_atom_site_fract_x
_atom_site_fract_y
_atom_site_fract_z
Sc1 Sc 0.500 0.500 0.500
Na1 Na 0.000 0.000 0.000
As1 As 0.000 0.500 0.000
Au1 Au 0.000 0.000 0.500
Au2 Au 0.500 0.000 0.000
```

spin magnetization = 0.0 μB per cell
formation energy from the elements = 10.434 kcal/mol of atoms



No. 10
First-principles (PBE-GGA) data for NaAs2AuSe after structural relaxation, as listed in Alexandria via LeMat-Bulk.

Structure (CIF):
```
data_NaAs2AuSe
_chemical_formula_sum 'Na1 As2 Au1 Se1'
_symmetry_space_group_name_H-M 'P 1'
_symmetry_Int_Tables_number 1
_symmetry_space_group_name_Hall 'P 1'
_cell_length_a 5.007
_cell_length_b 5.007
_cell_length_c 4.980
_cell_angle_alpha 90.00
_cell_angle_beta 90.00
_cell_angle_gamma 90.00
loop_
_atom_site_label
_atom_site_type_symbol
_atom_site_fract_x
_atom_site_fract_y
_atom_site_fract_z
Na1 Na 0.000 0.000 0.000
As1 As 0.000 0.500 0.000
As2 As 0.500 0.000 0.000
Au1 Au 0.500 0.500 0.500
Se1 Se 0.000 0.000 0.500
```

energy relative to the elements, uncorrected = 1.067 eV/atom
spin magnetization = 0.0 μB per cell
excess energy over the best structure of this formula in the dataset = 3.59 eV/f.u.